# 1
## MnBPd2N (PBE)

Data for a geometry-optimized MnBPd2N structure.

Results
Raw formation energy: 240 meV/atom
SG: P4/mmm (123)

Lattice parameters (Å, degrees): 4.8256 2.7654 4.8256 90.00 90.00 90.00
Last column: nearest neighbours and their distance in Å.
Atoms (fractional coordinates):
Pd  0.5000  0.0000  0.0000  2 N 2.41
Pd  0.0000  0.0000  0.5000  2 N 2.41
B  0.0000  0.5000  0.0000  2 N 1.38
Mn  0.5000  0.5000  0.5000  2 Mn 2.77, 8 Pd 2.78
N  0.0000  0.0000  0.0000  2 B 1.38


# 2
## Pr3MnB2N6 (PBE)

Data for a geometry-optimized Pr3MnB2N6 structure.

Results
Raw formation energy: -902 meV/atom
SG: P-3m1 (164)

Lattice parameters (Å, degrees): 5.4166 5.4166 6.2546 90.00 90.00 120.00
Last column: nearest neighbours and their distance in Å.
Atoms (fractional coordinates):
Mn  0.0000  0.0000  0.5000  6 N 2.12
N  0.8222  0.1778  0.7090  1 B 1.47
N  0.1778  0.3555  0.2910  1 B 1.47
N  0.3555  0.1778  0.7090  1 B 1.47
N  0.1778  0.8222  0.2910  1 B 1.47
N  0.8222  0.6445  0.7090  1 B 1.47
N  0.6445  0.8222  0.2910  1 B 1.47
B  0.6667  0.3333  0.7321  3 N 1.47
B  0.3333  0.6667  0.2679  3 N 1.47
Pr  0.6667  0.3333  0.3304  1 B 2.51, 9 N 2.72-2.78
Pr  0.3333  0.6667  0.6696  1 B 2.51, 9 N 2.72-2.78
Pr  0.0000  0.0000  0.0000  6 N 2.47


# 3
## RbMn2BN (PBE)

Data for a geometry-optimized RbMn2BN structure.

Results
Raw formation energy: 1439 meV/atom
SG: P4/mmm (123)

Lattice parameters (Å, degrees): 4.0484 6.3906 4.0484 90.00 90.00 90.00
Last column: nearest neighbours and their distance in Å.
Atoms (fractional coordinates):
B  0.0000  0.0000  0.0000  4 Mn 2.02
Mn  0.0000  0.0000  0.5000  2 B 2.02
Mn  0.5000  0.0000  0.0000  2 B 2.02
Rb  0.0000  0.5000  0.0000  4 N 2.86, 2 B 3.20
N  0.5000  0.5000  0.5000  4 Rb 2.86


# 4
## MnB2RhN (PBE)

Data for a geometry-optimized MnB2RhN structure.

Results
Raw formation energy: 1388 meV/atom
SG: P4/mmm (123)

Lattice parameters (Å, degrees): 3.4890 3.9354 3.4890 90.00 90.00 90.00
Last column: nearest neighbours and their distance in Å.
Atoms (fractional coordinates):
B  0.0000  0.0000  0.5000  2 N 1.74
B  0.5000  0.0000  0.0000  2 N 1.74
Rh  0.0000  0.5000  0.0000  2 N 1.97
N  0.0000  0.0000  0.0000  4 B 1.74
Mn  0.5000  0.5000  0.5000  4 Rh 2.47, 8 B 2.63


# 5
## MnBSN2 (PBE)

Data for a geometry-optimized MnBSN2 structure.

Results
Raw formation energy: 793 meV/atom
SG: P4/mmm (123)
Relative energy among the computed polymorphs: 0.0 meV/atom

Lattice parameters (Å, degrees): 3.1835 3.1835 6.5278 90.00 90.00 90.00
Last column: nearest neighbours and their distance in Å.
Atoms (fractional coordinates):
N  0.0000  0.5000  0.0000  2 B 1.59
N  0.5000  0.0000  0.0000  2 B 1.59
B  0.0000  0.0000  0.0000  4 N 1.59
S  0.0000  0.0000  0.5000  4 Mn 2.25
Mn  0.5000  0.5000  0.5000  4 S 2.25


# 6
## MnBSN2 (PBE)

Data for a geometry-optimized MnBSN2 structure.

Results
Raw formation energy: 1215 meV/atom
SG: P4/mmm (123)
Relative energy among the computed polymorphs: 422.2 meV/atom

Lattice parameters (Å, degrees): 3.4808 3.4808 5.0578 90.00 90.00 90.00
Last column: nearest neighbours and their distance in Å.
Atoms (fractional coordinates):
Mn  0.0000  0.0000  0.0000  4 N 1.74
S  0.0000  0.0000  0.5000  4 B 2.46, 2 Mn 2.53
N  0.0000  0.5000  0.0000  2 Mn 1.74
N  0.5000  0.0000  0.0000  2 Mn 1.74
B  0.5000  0.5000  0.5000  4 S 2.46


# 7
## MnBS2N (PBE)

Data for a geometry-optimized MnBS2N structure.

Results
Raw formation energy: 1098 meV/atom
SG: P4/mmm (123)

Lattice parameters (Å, degrees): 4.5853 4.5853 3.4004 90.00 90.00 90.00
Last column: nearest neighbours and their distance in Å.
Atoms (fractional coordinates):
N  0.0000  0.0000  0.5000  2 Mn 1.70
Mn  0.0000  0.0000  0.0000  2 N 1.70
S  0.5000  0.0000  0.0000  2 Mn 2.29
S  0.0000  0.5000  0.0000  2 Mn 2.29
B  0.5000  0.5000  0.5000  8 S 2.85


# 8
## ScMnB2N (PBE)

Data for a geometry-optimized ScMnB2N structure.

Results
Raw formation energy: 2084 meV/atom
SG: P4/mmm (123)

Lattice parameters (Å, degrees): 4.2841 3.9528 4.2841 90.00 90.00 90.00
Last column: nearest neighbours and their distance in Å.
Atoms (fractional coordinates):
Sc  0.0000  0.0000  0.0000  2 N 1.98, 4 B 2.14
B  0.0000  0.0000  0.5000  2 Sc 2.14
B  0.5000  0.0000  0.0000  2 Sc 2.14
N  0.0000  0.5000  0.0000  2 Sc 1.98
Mn  0.5000  0.5000  0.5000  8 B 2.91, 4 N 3.03


# 9
## MnBSe2N (PBE)

Data for a geometry-optimized MnBSe2N structure.

Results
Raw formation energy: 1006 meV/atom
SG: P4/mmm (123)
Relative energy among the computed polymorphs: 783.2 meV/atom

Lattice parameters (Å, degrees): 4.8322 4.8322 3.4023 90.00 90.00 90.00
Last column: nearest neighbours and their distance in Å.
Atoms (fractional coordinates):
N  0.0000  0.0000  0.5000  2 Mn 1.70
Se  0.0000  0.5000  0.0000  2 Mn 2.42
Se  0.5000  0.0000  0.0000  2 Mn 2.42
B  0.5000  0.5000  0.5000  8 Se 2.95
Mn  0.0000  0.0000  0.0000  2 N 1.70


# 10
## MnBSe2N (PBE)

Data for a geometry-optimized MnBSe2N structure.

Results
Raw formation energy: 223 meV/atom
SG: P4/mmm (123)
Relative energy among the computed polymorphs: 0.0 meV/atom

Lattice parameters (Å, degrees): 5.4039 5.4039 2.7104 90.00 90.00 90.00
Last column: nearest neighbours and their distance in Å.
Atoms (fractional coordinates):
Se  0.0000  0.5000  0.0000  2 B 2.70, 2 Se 2.71, 4 Mn 3.02, 4 N 3.02
Se  0.5000  0.0000  0.0000  2 B 2.70, 2 Se 2.71, 4 N 3.02, 4 Mn 3.02
Mn  0.5000  0.5000  0.5000  2 Mn 2.71, 8 Se 3.02
N  0.0000  0.0000  0.5000  2 B 1.36
B  0.0000  0.0000  0.0000  2 N 1.36


# 11
## MnBSeN2 (PBE)

Data for a geometry-optimized MnBSeN2 structure.

Results
Raw formation energy: 1124 meV/atom
SG: P4/mmm (123)
Relative energy among the computed polymorphs: 112.1 meV/atom

Lattice parameters (Å, degrees): 3.4988 3.4988 5.3159 90.00 90.00 90.00
Last column: nearest neighbours and their distance in Å.
Atoms (fractional coordinates):
Se  0.0000  0.0000  0.5000  4 B 2.47, 2 Mn 2.66
Mn  0.0000  0.0000  0.0000  4 N 1.75
N  0.5000  0.0000  0.0000  2 Mn 1.75
N  0.0000  0.5000  0.0000  2 Mn 1.75
B  0.5000  0.5000  0.5000  4 Se 2.47


# 12
## MnBSeN2 (PBE)

Data for a geometry-optimized MnBSeN2 structure.

Results
Raw formation energy: 1012 meV/atom
SG: P4/mmm (123)
Relative energy among the computed polymorphs: 0.0 meV/atom

Lattice parameters (Å, degrees): 3.2706 3.2706 6.6746 90.00 90.00 90.00
Last column: nearest neighbours and their distance in Å.
Atoms (fractional coordinates):
N  0.5000  0.0000  0.0000  2 B 1.64
N  0.0000  0.5000  0.0000  2 B 1.64
Se  0.0000  0.0000  0.5000  4 Mn 2.31
B  0.0000  0.0000  0.0000  4 N 1.64
Mn  0.5000  0.5000  0.5000  4 Se 2.31


# 13
## MnBTeN2 (PBE)

Data for a geometry-optimized MnBTeN2 structure.

Results
Raw formation energy: 1072 meV/atom
SG: P4/mmm (123)
Relative energy among the computed polymorphs: 0.0 meV/atom

Lattice parameters (Å, degrees): 3.5485 3.5485 5.5523 90.00 90.00 90.00
Last column: nearest neighbours and their distance in Å.
Atoms (fractional coordinates):
N  0.0000  0.5000  0.0000  2 Mn 1.77
N  0.5000  0.0000  0.0000  2 Mn 1.77
B  0.5000  0.5000  0.5000  4 Te 2.51
Mn  0.0000  0.0000  0.0000  4 N 1.77
Te  0.0000  0.0000  0.5000  4 B 2.51, 2 Mn 2.78


# 14
## MnBTe2N (PBE)

Data for a geometry-optimized MnBTe2N structure.

Results
Raw formation energy: 921 meV/atom
SG: P4/mmm (123)
Relative energy among the computed polymorphs: 508.6 meV/atom

Lattice parameters (Å, degrees): 5.1575 5.1575 3.4136 90.00 90.00 90.00
Last column: nearest neighbours and their distance in Å.
Atoms (fractional coordinates):
Te  0.0000  0.5000  0.0000  2 Mn 2.58
Te  0.5000  0.0000  0.0000  2 Mn 2.58
N  0.0000  0.0000  0.5000  2 Mn 1.71
B  0.5000  0.5000  0.5000  8 Te 3.09, 2 B 3.41
Mn  0.0000  0.0000  0.0000  2 N 1.71


# 15
## MnBTe2N (PBE)

Data for a geometry-optimized MnBTe2N structure.

Results
Raw formation energy: 413 meV/atom
SG: P4/mmm (123)
Relative energy among the computed polymorphs: 0.0 meV/atom

Lattice parameters (Å, degrees): 5.4686 5.4686 2.8187 90.00 90.00 90.00
Last column: nearest neighbours and their distance in Å.
Atoms (fractional coordinates):
Te  0.0000  0.5000  0.0000  2 B 2.73, 2 Te 2.82
Te  0.5000  0.0000  0.0000  2 B 2.73, 2 Te 2.82
Mn  0.5000  0.5000  0.5000  2 Mn 2.82, 8 Te 3.08
B  0.0000  0.0000  0.0000  2 N 1.41
N  0.0000  0.0000  0.5000  2 B 1.41


# 16
## MnBTeN2 (PBE)

Data for a geometry-optimized MnBTeN2 structure.

Results
Raw formation energy: 1451 meV/atom
SG: P4/mmm (123)
Relative energy among the computed polymorphs: 379.4 meV/atom

Lattice parameters (Å, degrees): 3.4137 3.4137 6.6297 90.00 90.00 90.00
Last column: nearest neighbours and their distance in Å.
Atoms (fractional coordinates):
Mn  0.5000  0.5000  0.5000  4 Te 2.41
Te  0.0000  0.0000  0.5000  4 Mn 2.41
B  0.0000  0.0000  0.0000  4 N 1.71
N  0.0000  0.5000  0.0000  2 B 1.71
N  0.5000  0.0000  0.0000  2 B 1.71


# 17
## MnVB2N (PBE)

Data for a geometry-optimized MnVB2N structure.

Results
Raw formation energy: 909 meV/atom
SG: P4/mmm (123)

Lattice parameters (Å, degrees): 3.8357 3.5575 3.8357 90.00 90.00 90.00
Last column: nearest neighbours and their distance in Å.
Atoms (fractional coordinates):
B  0.0000  0.0000  0.5000  2 Mn 1.92
B  0.5000  0.0000  0.0000  2 Mn 1.92
Mn  0.0000  0.0000  0.0000  2 N 1.78, 4 B 1.92
N  0.0000  0.5000  0.0000  2 Mn 1.78
V  0.5000  0.5000  0.5000  8 B 2.62, 4 N 2.71


# 18
## MnVBN2 (PBE)

Data for a geometry-optimized MnVBN2 structure.

Results
Raw formation energy: 1474 meV/atom
SG: P4/mmm (123)

Lattice parameters (Å, degrees): 3.3757 3.9633 3.3757 90.00 90.00 90.00
Last column: nearest neighbours and their distance in Å.
Atoms (fractional coordinates):
Mn  0.5000  0.5000  0.5000  4 V 2.39, 8 N 2.60
B  0.0000  0.0000  0.0000  4 N 1.69
N  0.0000  0.0000  0.5000  2 B 1.69
N  0.5000  0.0000  0.0000  2 B 1.69
V  0.0000  0.5000  0.0000  2 B 1.98


# 19
## Y2MnBN (PBE)

Data for a geometry-optimized Y2MnBN structure.

Results
Raw formation energy: 631 meV/atom
SG: P4/mmm (123)

Lattice parameters (Å, degrees): 4.8600 3.7049 4.8600 90.00 90.00 90.00
Last column: nearest neighbours and their distance in Å.
Atoms (fractional coordinates):
Y  0.0000  0.0000  0.5000  2 Mn 2.43
Y  0.5000  0.0000  0.0000  2 Mn 2.43
N  0.5000  0.5000  0.5000  8 Y 3.06
Mn  0.0000  0.0000  0.0000  2 B 1.85
B  0.0000  0.5000  0.0000  2 Mn 1.85


# 20
## Na3MnB (PBE)

Data for a geometry-optimized Na3MnB structure.

Results
SG: Pm-3m (221)
Relative energy among the computed polymorphs: 507.6 meV/atom
Calculated formation energy: 1.658 eV per atom

Lattice parameters (Å, degrees): 5.5638 5.5638 5.5638 90.00 90.00 90.00
Last column: nearest neighbours and their distance in Å.
Atoms (fractional coordinates):
B  0.5000  0.5000  0.5000  12 Na 3.93
Mn  0.0000  0.0000  0.0000  6 Na 2.78
Na  0.0000  0.0000  0.5000  2 Mn 2.78
Na  0.5000  0.0000  0.0000  2 Mn 2.78
Na  0.0000  0.5000  0.0000  2 Mn 2.78


# 21
## Na3MnB (PBE)

Data for a geometry-optimized Na3MnB structure.

Results
SG: Pm-3m (221)
Relative energy among the computed polymorphs: 0.0 meV/atom
Calculated formation energy: 1.150 eV per atom

Lattice parameters (Å, degrees): 5.1020 5.1020 5.1020 90.00 90.00 90.00
Last column: nearest neighbours and their distance in Å.
Atoms (fractional coordinates):
Mn  0.5000  0.5000  0.5000  12 Na 3.61
Na  0.0000  0.0000  0.5000  2 B 2.55
Na  0.0000  0.5000  0.0000  2 B 2.55
Na  0.5000  0.0000  0.0000  2 B 2.55
B  0.0000  0.0000  0.0000  6 Na 2.55


# 22
## NaMn2B2 (PBE)

Data for a geometry-optimized NaMn2B2 structure.

Results
SG: P4/mbm (127)
Relative energy among the computed polymorphs: 196.2 meV/atom
Calculated formation energy: 0.352 eV per atom

Lattice parameters (Å, degrees): 6.0227 6.0227 2.7579 90.00 90.00 90.00
Last column: nearest neighbours and their distance in Å.
Atoms (fractional coordinates):
Mn  0.8403  0.3403  0.5000  4 B 2.15
Mn  0.3403  0.1597  0.5000  4 B 2.15
Mn  0.1597  0.6597  0.5000  4 B 2.15
Mn  0.6597  0.8403  0.5000  4 B 2.15
B  0.1083  0.3917  0.0000  1 B 1.84
B  0.3917  0.8917  0.0000  1 B 1.84
B  0.6083  0.1083  0.0000  1 B 1.84
B  0.8917  0.6083  0.0000  1 B 1.84
Na  0.5000  0.5000  0.0000  4 B 2.45, 8 Mn 2.65
Na  0.0000  0.0000  0.0000  4 B 2.45, 8 Mn 2.65


# 23
## NaMn2B (PBE)

Data for a geometry-optimized NaMn2B structure.

Results
SG: I4_1/amd (141)
Calculated formation energy: 0.806 eV per atom

Lattice parameters (Å, degrees): 5.4657 5.4657 6.8959 66.65 66.65 90.00
Last column: nearest neighbours and their distance in Å.
Atoms (fractional coordinates):
Na  0.0000  0.0000  0.0000  8 Mn 3.37
Na  0.7500  0.2500  0.5000  8 Mn 3.37
Mn  0.3750  0.6249  0.7500  2 B 1.98
Mn  0.3751  0.1250  0.2500  2 B 1.98
Mn  0.8750  0.6251  0.7500  2 B 1.98
Mn  0.3749  0.6250  0.2500  2 B 1.98
B  0.2500  0.7500  0.5000  4 Mn 1.98
B  0.5000  0.5000  0.0000  4 Mn 1.98


# 24
## NaMn2B2 (PBE)

Data for a geometry-optimized NaMn2B2 structure.

Results
SG: I4/mmm (139)
Relative energy among the computed polymorphs: 0.0 meV/atom
Calculated formation energy: 0.156 eV per atom

Lattice parameters (Å, degrees): 3.7416 3.7416 5.8000 71.18 71.18 90.00
Last column: nearest neighbours and their distance in Å.
Atoms (fractional coordinates):
B  0.6819  0.6819  0.6363  4 Mn 2.00
B  0.3181  0.3181  0.3637  4 Mn 2.00
Mn  0.2500  0.7500  0.5000  4 B 2.00
Mn  0.7500  0.2500  0.5000  4 B 2.00
Na  0.0000  0.0000  0.0000  8 Mn 3.19, 10 B 3.24-3.28


# 25
## NaMnB14 (PBE)

Data for a geometry-optimized NaMnB14 structure.

Results
SG: Imma (74)
Calculated formation energy: -0.087 eV per atom

Lattice parameters (Å, degrees): 5.8388 7.2663 7.2663 69.40 66.31 66.31
Last column: nearest neighbours and their distance in Å.
Atoms (fractional coordinates):
B  0.6714  0.0374  0.1232  6 B 1.74-1.83
B  0.2826  0.3937  0.7219  6 B 1.77-1.86
B  0.8339  0.2025  0.1298  6 B 1.75-1.84
B  0.8286  0.3768  0.4626  6 B 1.74-1.83
B  0.4103  0.7540  0.4254  6 B 1.77-1.87
B  0.3550  0.0244  0.2655  3 B 1.74-1.87
B  0.1019  0.2219  0.8937  6 B 1.77-1.86
B  0.1714  0.6232  0.5374  6 B 1.74-1.83
B  0.3320  0.3768  0.4626  6 B 1.74-1.83
B  0.5897  0.2460  0.5746  6 B 1.77-1.87
B  0.7826  0.2219  0.8937  6 B 1.77-1.86
B  0.2174  0.7781  0.1063  6 B 1.77-1.86
B  0.6019  0.3937  0.7219  6 B 1.77-1.86
B  0.6661  0.3702  0.2975  6 B 1.75-1.84
B  0.9103  0.9254  0.2540  6 B 1.77-1.87
B  0.3286  0.9626  0.8768  6 B 1.74-1.83
B  0.6680  0.6232  0.5374  6 B 1.74-1.83
B  0.1661  0.7975  0.8702  6 B 1.75-1.84
B  0.3339  0.6298  0.7025  6 B 1.75-1.84
B  0.6450  0.9756  0.7345  3 B 1.74-1.87
B  0.0897  0.0746  0.7460  6 B 1.77-1.87
B  0.8550  0.7655  0.5244  3 B 1.74-1.87
B  0.1450  0.2345  0.4756  3 B 1.74-1.87
B  0.3981  0.6063  0.2781  6 B 1.77-1.86
B  0.7174  0.6063  0.2781  6 B 1.77-1.86
B  0.8981  0.7781  0.1063  6 B 1.77-1.86
B  0.1680  0.0374  0.1232  6 B 1.74-1.83
B  0.8320  0.9626  0.8768  6 B 1.74-1.83
Na  0.2500  0.4045  0.0955  16 B 2.53-2.82
Na  0.7500  0.5955  0.9045  16 B 2.53-2.82
Mn  0.0000  0.0000  0.5000  8 B 2.12-2.33
Mn  0.5000  0.0000  0.5000  8 B 2.12-2.33


Raw total energy per entry: -33.359 -97.644 -27.113 -31.261 -32.661 -30.550 -26.936 -26.760 -26.109 -30.025 -30.364 -30.924 -30.280 -25.850 -28.393 -28.383 -35.423 -34.244 -33.944 -11.516 -14.053 -62.503 -46.225 -32.232 -210.718 eV for the cell shown